Below is crystalline PaVFe at its relaxed geometry, with properties calculated at the PBE level. Values from VASP.

```
&SYSTEM
  ibrav = 0, nat = 3, ntyp = 3
/
ATOMIC_SPECIES
Pa 231.04 Pa.upf
Fe 55.84 Fe.upf
V 50.94 V.upf
ATOMIC_POSITIONS crystal
Pa 0.009 0.000 0.000
Fe 0.727 0.667 0.333
V 0.265 0.333 0.667
CELL_PARAMETERS angstrom
2.877 0.000 0.000
0.000 4.311 0.000
0.000 -2.156 3.734
```

Values from the calculation:
magnetization	0.00	μB/f.u.
DFT formation energy	200	meV per atom